(P)
This record from Alexandria via LeMat-Bulk describes a relaxed structure of Ca2YSb. The functional is PBE.

Values from the calculation:
size of the total moment: 0.00 μB per formula unit

a b c (Å): 6.680 10.848 3.537
angles (deg): 90.00 90.00 90.00
Space group Cmmm (No. 65)
Symmetry-distinct sites (fractional):
Ca  0.250  0.250  0.000 x4
Y  0.000  0.000  0.500 x2
Sb  0.000  0.500  0.500 x2

(Q)
This record from Alexandria via LeMat-Bulk describes a relaxed structure of Ca2YSb. The functional is PBE.

Values from the calculation:
size of the total moment: 0.00 μB per formula unit

a b c (Å): 6.670 11.264 3.511
angles (deg): 90.00 106.16 90.00
Space group C2/m (No. 12)
Symmetry-distinct sites (fractional):
Ca  0.250  0.250  0.000 x4
Y  0.000  0.000  0.500 x2
Sb  0.000  0.500  0.500 x2

(R)
This record from Alexandria via LeMat-Bulk describes a relaxed structure of Ca2YSb. The functional is PBE.

Values from the calculation:
size of the total moment: 0.00 μB per formula unit

a b c (Å): 9.596 9.596 6.377
angles (deg): 90.00 90.00 90.00
Space group I-42d (No. 122)
Symmetry-distinct sites (fractional):
Ca  0.184  0.250  0.125 x8
Y  0.000  0.000  0.500 x4
Sb  0.000  0.000  0.000 x4

Last place for stability: (R)